The following is a DFT calculation (PBE+U) of CaMgMnF6 after structural relaxation.

Output
V: 13.307 Å³/atom
D(E_F): 0.00 states/eV per cell
Energy: -104.57 eV per cell

```
data_CaMgMnF6
_space_group_name_H-M_alt 'P -3 1 c'
_space_group_IT_number 163
_space_group_name_Hall '-P 3 2c'
_cell_length_a 5.5242
_cell_length_b 5.5242
_cell_length_c 9.0633
_cell_angle_alpha 90.00
_cell_angle_beta 90.00
_cell_angle_gamma 120.00
loop_
_atom_site_label
_atom_site_type_symbol
_atom_site_fract_x
_atom_site_fract_y
_atom_site_fract_z
_atom_site_occupancy
Ca1 Ca 0.3333 0.6667 0.2500 1
Mg1 Mg 0.3333 0.6667 0.7500 1
Mn1 Mn 0.0000 0.0000 0.0000 1
F1 F 0.0351 0.3497 0.6293 1
```